Ac4HgPd after structural relaxation, computed with PBE-GGA.

abc: 5.417 5.420 7.843
angles: 89.87 89.93 90.00
Atoms (fractional coordinates):
Hg1 0.501 0.497 0.998
Ac1 0.501 0.997 0.262
Ac2 0.002 0.498 0.735
Ac3 0.502 0.998 0.735
Ac4 0.001 0.497 0.262
Pd1 0.001 0.997 0.498

Results
Volume   38.38 Å³ per atom
Formation enthalpy at 0 K   -232 meV per atom
Density of states at the Fermi level   1.678 states/eV/atom
DFT total energy   -3.887 eV per atom
Space-group type   C2/m

=====

AcHg6Pd6 after structural relaxation, computed with PBE-GGA.

abc: 5.687 7.389 7.389
angles: 79.15 67.37 67.37
Atoms (fractional coordinates):
Hg1 0.313 0.187 0.187
Hg2 0.654 0.346 0.346
Hg3 0.687 0.813 0.813
Hg4 0.000 0.342 0.658
Hg5 0.000 0.658 0.342
Hg6 0.346 0.654 0.654
Pd1 0.500 0.000 0.500
Pd2 0.000 0.500 0.000
Pd3 0.500 0.234 0.766
Pd4 0.500 0.766 0.234
Pd5 0.000 0.000 0.500
Pd6 0.500 0.500 0.000
Ac1 0.000 0.000 0.000

Results
Volume   20.33 Å³ per atom
Formation enthalpy at 0 K   -347 meV per atom
Density of states at the Fermi level   0.293 states/eV/atom
DFT total energy   -3.199 eV per atom
Space-group type   Immm

=====

AcHg7Pd5 after structural relaxation, computed with PBE-GGA.

abc: 5.805 7.450 7.450
angles: 81.32 67.07 67.07
Atoms (fractional coordinates):
Ac1 0.047 0.953 0.953
Pd1 0.484 0.514 0.006
Pd2 0.997 0.514 0.006
Pd3 0.484 0.006 0.514
Pd4 0.997 0.006 0.514
Pd5 0.717 0.783 0.783
Hg1 0.376 0.624 0.624
Hg2 0.259 0.241 0.241
Hg3 0.497 0.203 0.803
Hg4 0.689 0.311 0.311
Hg5 0.978 0.363 0.680
Hg6 0.978 0.680 0.363
Hg7 0.497 0.803 0.203

Results
Volume   21.02 Å³ per atom
Formation enthalpy at 0 K   -300 meV per atom
Density of states at the Fermi level   0.349 states/eV/atom
DFT total energy   -2.776 eV per atom
Space-group type   Imm2

=====

AcHg2Pd6 after structural relaxation, computed with PBE-GGA.

abc: 5.614 5.614 7.339
angles: 90.00 90.00 120.00
Atoms (fractional coordinates):
Pd1 0.000 0.500 0.188
Pd2 0.500 0.500 0.812
Pd3 0.000 0.500 0.812
Pd4 0.500 0.000 0.812
Pd5 0.500 0.500 0.188
Pd6 0.500 0.000 0.188
Ac1 0.000 0.000 0.000
Hg1 0.333 0.667 0.500
Hg2 0.667 0.333 0.500

Results
Volume   22.26 Å³ per atom
Formation enthalpy at 0 K   -307 meV per atom
Density of states at the Fermi level   0.560 states/eV/atom
DFT total energy   -4.292 eV per atom
Space-group type   P6/mmm

=====

AcHgPd2 after structural relaxation, computed with PBE-GGA.

abc: 4.412 5.715 7.489
angles: 90.00 90.00 90.00
Atoms (fractional coordinates):
Pd1 0.000 0.250 0.138
Pd2 0.500 0.000 0.000
Pd3 0.500 0.500 0.000
Pd4 0.000 0.750 0.862
Ac1 0.000 0.750 0.267
Ac2 0.000 0.250 0.733
Hg1 0.500 0.750 0.630
Hg2 0.500 0.250 0.370

Results
Volume   23.61 Å³ per atom
Formation enthalpy at 0 K   -673 meV per atom
Density of states at the Fermi level   0.674 states/eV/atom
DFT total energy   -4.372 eV per atom
Space-group type   Pmma

=====

Ac2Hg6Pd3 after structural relaxation, computed with PBE-GGA.

abc: 4.441 8.472 8.472
angles: 120.00 90.00 90.00
Atoms (fractional coordinates):
Hg1 0.000 0.000 0.796
Hg2 0.000 0.796 0.000
Hg3 0.500 0.713 0.713
Hg4 0.500 0.000 0.287
Hg5 0.000 0.204 0.204
Hg6 0.500 0.287 0.000
Ac1 0.000 0.667 0.333
Ac2 0.000 0.333 0.667
Pd1 0.500 0.395 0.395
Pd2 0.500 0.605 0.000
Pd3 0.500 0.000 0.605

Results
Volume   25.10 Å³ per atom
Formation enthalpy at 0 K   -404 meV per atom
Density of states at the Fermi level   0.456 states/eV/atom
DFT total energy   -2.732 eV per atom
Space-group type   P-62m

=====

Ac2Hg2Pd15 after structural relaxation, computed with PBE-GGA.

abc: 7.116 7.116 7.116
angles: 82.07 82.07 82.07
Atoms (fractional coordinates):
Pd1 0.000 0.000 0.500
Pd2 0.349 0.842 0.349
Pd3 0.303 0.697 0.000
Pd4 0.500 0.000 0.000
Pd5 0.651 0.158 0.651
Pd6 0.697 0.000 0.303
Pd7 0.697 0.303 0.000
Pd8 0.000 0.303 0.697
Pd9 0.651 0.651 0.158
Pd10 0.303 0.000 0.697
Pd11 0.158 0.651 0.651
Pd12 0.000 0.697 0.303
Pd13 0.349 0.349 0.842
Pd14 0.000 0.500 0.000
Pd15 0.842 0.349 0.349
Ac1 0.346 0.346 0.346
Ac2 0.654 0.654 0.654
Hg1 0.899 0.899 0.899
Hg2 0.101 0.101 0.101

Results
Volume   18.47 Å³ per atom
Formation enthalpy at 0 K   -383 meV per atom
Density of states at the Fermi level   1.039 states/eV/atom
DFT total energy   -4.947 eV per atom
Space-group type   R-3m

=====

AcHgPd2 after structural relaxation, computed with PBE-GGA.

abc: 3.743 3.743 6.527
angles: 90.00 90.00 90.00
Atoms (fractional coordinates):
Ac1 0.500 0.500 0.500
Hg1 0.500 0.500 0.000
Pd1 0.000 0.000 0.782
Pd2 0.000 0.000 0.218

Results
Volume   22.87 Å³ per atom
Formation enthalpy at 0 K   -455 meV per atom
Density of states at the Fermi level   0.408 states/eV/atom
DFT total energy   -4.154 eV per atom
Space-group type   P4/mmm